Entry from Alexandria: a geometry-optimized Pr2MnOsO8 structure (PBE+U).

Cell and atoms, written as CIF:
```
data_Pr2MnOsO8
_cell_length_a 4.772
_cell_length_b 4.923
_cell_length_c 6.749
_cell_angle_alpha 89.74
_cell_angle_beta 89.83
_cell_angle_gamma 87.09
_symmetry_space_group_name_H-M 'P 1'
_symmetry_Int_Tables_number 1
_symmetry_space_group_name_Hall 'P 1'
loop_
_atom_site_label
_atom_site_fract_x
_atom_site_fract_y
_atom_site_fract_z
Pr1 0.086 0.441 0.259
Pr2 0.914 0.559 0.741
Mn1 0.500 0.000 0.500
Os1 0.500 0.000 0.000
O1 0.226 0.259 0.951
O2 0.229 0.271 0.551
O3 0.291 0.879 0.249
O4 0.372 0.786 0.757
O5 0.628 0.214 0.243
O6 0.709 0.121 0.751
O7 0.771 0.729 0.449
O8 0.774 0.741 0.049
```

Summary:
The value obtained for the raw total energy is -89.74 eV/cell. The symmetry is P-1, No. 2.